(1)
Y3NbFe after structural relaxation. Source: Alexandria, functional PBE.

ΔE_f: 5.12 eV/f.u.
Mass density: 4.50 Mg/m³
Energy above the most stable polymorph in this dataset: 0.462 eV/atom

abc: 5.3535 5.3535 5.3535
angles: 90.00 90.00 90.00
Fractional positions:
Y: 0.0000 0.0000 0.5000
Y: 0.0000 0.5000 0.0000
Y: 0.5000 0.0000 0.0000
Nb: 0.0000 0.0000 0.0000
Fe: 0.5000 0.5000 0.5000

=====

(2)
Tl6SnSb2 after structural relaxation. Source: Alexandria, functional PBE.

Mass density: 9.15 Mg/m³
Energy relative to the elements, uncorrected: 0.023 eV per atom
Energy above the most stable polymorph in this dataset: 0.012 eV/atom

abc: 11.7804 11.7804 11.7804
angles: 26.56 26.56 26.56
Fractional positions:
Tl: 0.0938 0.0938 0.0938
Tl: 0.1966 0.1966 0.1966
Tl: 0.3028 0.3028 0.3028
Tl: 0.6972 0.6972 0.6972
Tl: 0.8034 0.8034 0.8034
Tl: 0.9062 0.9062 0.9062
Sn: 0.5000 0.5000 0.5000
Sb: 0.3994 0.3994 0.3994
Sb: 0.6006 0.6006 0.6006

=====

(3)
BeZn after structural relaxation. Source: Alexandria, functional PBE.

ΔE_f: 0.61 eV/f.u.
Mass density: 4.74 Mg/m³

abc: 3.7982 3.7982 4.1769
angles: 90.00 90.00 120.00
Fractional positions:
Be: 0.0000 0.0000 0.0000
Be: 0.0000 0.0000 0.5000
Zn: 0.3333 0.6667 0.2500
Zn: 0.6667 0.3333 0.7500

=====

(4)
LaMgSe3 after structural relaxation. Source: Alexandria, functional PBE.

Mass density: 3.55 Mg/m³
Energy relative to the elements, uncorrected: -0.458 eV per atom
Energy above the most stable polymorph in this dataset: 0.748 eV/atom

abc: 5.7195 5.7195 5.7195
angles: 90.00 90.00 90.00
Fractional positions:
La: 0.0000 0.0000 0.0000
Mg: 0.5000 0.5000 0.5000
Se: 0.0000 0.0000 0.5000
Se: 0.0000 0.5000 0.0000
Se: 0.5000 0.0000 0.0000